[1]
Below is an optimized crystal structure of BaCaTa, with properties calculated at the PBE level.

Cell lengths 3.457, 3.457, 9.053 Å; angles 90.00, 90.00, 120.00 degrees
Atoms (fractional coordinates):
1 Ba 0.000 0.000 0.000
2 Ca 0.667 0.333 0.413
3 Ta 0.333 0.667 0.692

Calculated values
The distance to the lowest polymorph of the same formula comes out at 47 meV/atom. As for the total DFT energy (no corrections): -0.319 Ry per atom. The symmetry is P3m1 (156).



[2]
Below is an optimized crystal structure of BaCaTa2, with properties calculated at the PBE level.

Cell lengths 5.230, 5.230, 5.230 Å; angles 60.00, 60.00, 60.00 degrees
Atoms (fractional coordinates):
1 Ba 0.000 0.000 0.000
2 Ca 0.250 0.250 0.250
3 Ta 0.500 0.500 0.500
4 Ta 0.750 0.750 0.750

Calculated values
The distance to the lowest polymorph of the same formula comes out at 560 meV/atom. As for the total DFT energy (no corrections): -0.430 Ry per atom. The symmetry is F-43m (216).



[3]
Below is an optimized crystal structure of BaCaTa2, with properties calculated at the PBE level.

Cell lengths 6.228, 6.228, 6.228 Å; angles 139.69, 139.69, 58.32 degrees
Atoms (fractional coordinates):
1 Ba 0.000 0.000 0.000
2 Ca 0.500 0.500 0.000
3 Ta 0.250 0.750 0.500
4 Ta 0.750 0.250 0.500

Calculated values
The distance to the lowest polymorph of the same formula comes out at 642 meV/atom. As for the total DFT energy (no corrections): -0.424 Ry per atom. The symmetry is I4/mmm (139).



[4]
Below is an optimized crystal structure of BaCaTa2, with properties calculated at the PBE level.

Cell lengths 6.324, 6.324, 3.009 Å; angles 90.49, 90.49, 122.73 degrees
Atoms (fractional coordinates):
1 Ba 0.000 0.000 0.000
2 Ca 0.500 0.500 0.000
3 Ta 0.000 0.500 0.500
4 Ta 0.500 0.000 0.500

Calculated values
The distance to the lowest polymorph of the same formula comes out at 617 meV/atom. As for the total DFT energy (no corrections): -0.426 Ry per atom. The symmetry is C2/m (12).